1.
# KHfTe4Au2 PBE optimized geometry
data_KHfTe4Au2
_cell_length_a 6.8201
_cell_length_b 8.5211
_cell_length_c 9.4788
_cell_angle_alpha 90.00
_cell_angle_beta 90.00
_cell_angle_gamma 90.00
_symmetry_space_group_name_H-M 'I 2 2 2'
_symmetry_Int_Tables_number 23
loop_
_symmetry_equiv_pos_as_xyz
'x,y,z'
'-x,-y,z'
'x,-y,-z'
'-x,y,-z'
'x+1/2,y+1/2,z+1/2'
'-x+1/2,-y+1/2,z+1/2'
'x+1/2,-y+1/2,-z+1/2'
'-x+1/2,y+1/2,-z+1/2'
loop_
_atom_site_label
_atom_site_type_symbol
_atom_site_fract_x
_atom_site_fract_y
_atom_site_fract_z
K1 K 0.0000 0.0000 0.0000
Hf1 Hf 0.0000 0.0000 0.5000
Te1 Te 0.2049 0.2053 0.3299
Au1 Au 0.0000 0.5000 0.1474
# ΔE_f (raw): -417 meV per atom
# Final energy: -4.188 eV/atom
# DOS at the Fermi energy: 4.66 states/eV/f.u.
# Total magnetic moment: 0.0 Bohr magnetons per cell


2.
# KHfTe4Au PBE optimized geometry
data_KHfTe4Au
_cell_length_a 7.3164
_cell_length_b 6.2610
_cell_length_c 9.9359
_cell_angle_alpha 90.00
_cell_angle_beta 104.15
_cell_angle_gamma 90.00
_symmetry_space_group_name_H-M 'P 1 21/m 1'
_symmetry_Int_Tables_number 11
loop_
_symmetry_equiv_pos_as_xyz
'x,y,z'
'-x,-y,-z'
'-x,y+1/2,-z'
'x,-y+1/2,z'
loop_
_atom_site_label
_atom_site_type_symbol
_atom_site_fract_x
_atom_site_fract_y
_atom_site_fract_z
K1 K 0.1723 0.2500 0.4598
Hf1 Hf 0.2860 0.7500 0.0686
Te1 Te 0.1271 0.2500 0.0776
Te2 Te 0.3050 0.7500 0.3725
Te3 Te 0.3613 0.5131 0.8204
Au1 Au 0.0359 0.2500 0.7907
# ΔE_f (raw): -521 meV per atom
# Final energy: -4.363 eV/atom
# DOS at the Fermi energy: 3.18 states/eV/f.u.
# Total magnetic moment: 0.0 Bohr magnetons per cell


3.
# K2HfTe4Au PBE optimized geometry
data_K2HfTe4Au
_cell_length_a 6.2966
_cell_length_b 15.1227
_cell_length_c 25.4594
_cell_angle_alpha 90.00
_cell_angle_beta 90.00
_cell_angle_gamma 90.00
_symmetry_space_group_name_H-M 'F d d d'
_symmetry_Int_Tables_number 70
loop_
_symmetry_equiv_pos_as_xyz
'x,y,z'
'-x,-y,-z'
'-x+1/4,-y+1/4,z'
'x+1/4,y+1/4,-z'
'x,-y+1/4,-z+1/4'
'-x,y+1/4,z+1/4'
'-x+1/4,y,-z+1/4'
'x+1/4,-y,z+1/4'
'x,y+1/2,z+1/2'
'-x,-y+1/2,-z+1/2'
'-x+1/4,-y+3/4,z+1/2'
'x+1/4,y+3/4,-z+1/2'
'x,-y+3/4,-z+3/4'
'-x,y+3/4,z+3/4'
'-x+1/4,y+1/2,-z+3/4'
'x+1/4,-y+1/2,z+3/4'
'x+1/2,y,z+1/2'
'-x+1/2,-y,-z+1/2'
'-x+3/4,-y+1/4,z+1/2'
'x+3/4,y+1/4,-z+1/2'
'x+1/2,-y+1/4,-z+3/4'
'-x+1/2,y+1/4,z+3/4'
'-x+3/4,y,-z+3/4'
'x+3/4,-y,z+3/4'
'x+1/2,y+1/2,z'
'-x+1/2,-y+1/2,-z'
'-x+3/4,-y+3/4,z'
'x+3/4,y+3/4,-z'
'x+1/2,-y+3/4,-z+1/4'
'-x+1/2,y+3/4,z+1/4'
'-x+3/4,y+1/2,-z+1/4'
'x+3/4,-y+1/2,z+1/4'
loop_
_atom_site_label
_atom_site_type_symbol
_atom_site_fract_x
_atom_site_fract_y
_atom_site_fract_z
K1 K 0.1250 0.1250 0.3066
Hf1 Hf 0.1250 0.1250 0.1250
Te1 Te 0.1169 0.2610 0.4336
Au1 Au 0.1250 0.1250 0.6250
# ΔE_f (raw): -694 meV per atom
# Final energy: -4.193 eV/atom
# DOS at the Fermi energy: 7.85 states/eV/f.u.
# Total magnetic moment: 0.0 Bohr magnetons per cell


4.
# KHfTi2Au PBE optimized geometry
data_KHfTi2Au
_cell_length_a 4.9889
_cell_length_b 4.9889
_cell_length_c 5.4250
_cell_angle_alpha 90.00
_cell_angle_beta 90.00
_cell_angle_gamma 90.00
_symmetry_space_group_name_H-M 'P 4/m m m'
_symmetry_Int_Tables_number 123
_symmetry_space_group_name_Hall '-P 4 2'
loop_
_atom_site_label
_atom_site_type_symbol
_atom_site_fract_x
_atom_site_fract_y
_atom_site_fract_z
K1 K 0.0000 0.0000 0.0000
Hf1 Hf 0.5000 0.5000 0.5000
Ti1 Ti 0.0000 0.5000 0.5000
Au1 Au 0.5000 0.5000 0.0000
# E_form: 0.911 eV per atom
# Final energy: -5.112 eV/atom
# DOS at the Fermi energy: 3.52 states/eV/f.u.
# Total magnetic moment: 0.0 Bohr magnetons per cell


5.
# La2HfAu PBE optimized geometry
data_La2HfAu
_cell_length_a 7.6112
_cell_length_b 7.6112
_cell_length_c 7.6112
_cell_angle_alpha 90.00
_cell_angle_beta 90.00
_cell_angle_gamma 90.00
_symmetry_space_group_name_H-M 'F m -3 m'
_symmetry_Int_Tables_number 225
_symmetry_space_group_name_Hall '-F 4 2 3'
loop_
_atom_site_label
_atom_site_type_symbol
_atom_site_fract_x
_atom_site_fract_y
_atom_site_fract_z
La1 La 0.2500 0.2500 0.2500
Hf1 Hf 0.0000 0.0000 0.0000
Au1 Au 0.0000 0.0000 0.5000
# E_form: -0.003 eV per atom
# Final energy: -5.775 eV/atom
# DOS at the Fermi energy: 4.21 states/eV/f.u.
# Total magnetic moment: 5.0 Bohr magnetons per cell
# Polymorph energy (0 for the lowest one): 0.000 eV per atom


6.
# La2HfAu PBE optimized geometry
data_La2HfAu
_cell_length_a 8.5729
_cell_length_b 8.5729
_cell_length_c 6.2037
_cell_angle_alpha 90.00
_cell_angle_beta 90.00
_cell_angle_gamma 90.00
_symmetry_space_group_name_H-M 'I -4 2 d'
_symmetry_Int_Tables_number 122
_symmetry_space_group_name_Hall 'I -4 2bw'
loop_
_atom_site_label
_atom_site_type_symbol
_atom_site_fract_x
_atom_site_fract_y
_atom_site_fract_z
La1 La 0.2223 0.7500 0.1250
Hf1 Hf 0.0000 0.0000 0.5000
Au1 Au 0.0000 0.0000 0.0000
# E_form: 0.100 eV per atom
# Final energy: -5.671 eV/atom
# DOS at the Fermi energy: 7.19 states/eV/f.u.
# Total magnetic moment: 0.0 Bohr magnetons per cell
# Polymorph energy (0 for the lowest one): 0.104 eV per atom


The highest DOS at the Fermi energy belongs to which entry?
K2HfTe4Au


The highest final energy belongs to which entry?
KHfTe4Au2


total magnetic moment of number 1 (KHfTe4Au2)?
0.0 Bohr magnetons per cell